A relaxed AlFeO3 crystal. Source: the Alexandria database, functional PBE with a Hubbard U.

a = 4.9311 Å, b = 4.9172 Å, c = 8.2101 Å
α = 92.88°, β = 87.17°, γ = 92.31°
Element x y z (fractional)
Al 0.5174 0.4824 0.7992
Al 0.9837 0.0183 0.2954
Al 0.0163 0.9817 0.7046
Al 0.4826 0.5176 0.2008
Fe 0.5000 0.0000 0.5000
Fe 0.0000 0.5000 0.5000
Fe 0.0000 0.5000 0.0000
Fe 0.5000 0.0000 0.0000
O 0.2494 0.3096 0.3348
O 0.8376 0.1666 0.5122
O 0.6729 0.6735 0.9997
O 0.3173 0.2382 0.6668
O 0.3271 0.3265 0.0003
O 0.7639 0.2416 0.1713
O 0.1624 0.8334 0.4878
O 0.2361 0.7584 0.8287
O 0.7506 0.6904 0.6652
O 0.7954 0.2067 0.8406
O 0.6827 0.7618 0.3332
O 0.2046 0.7933 0.1594

Calculated values
Crystal system ... triclinic
E_tot ... -137.83 eV per cell
Space-group type ... No. 2